DFT (PBE) results for a relaxed structure of HfB3Ir.

Cell lengths 4.052, 4.052, 4.052 Å; angles 90.00, 90.00, 90.00 degrees
Atoms (fractional coordinates):
Hf 0.000 0.000 0.000
B 0.000 0.500 0.500
B 0.500 0.000 0.500
B 0.500 0.500 0.000
Ir 0.500 0.500 0.500

Formation enthalpy at 0 K in meV/atom: 743
E_tot in eV for the cell shown: -35.13